# Sr2CoH6Au

A geometry-optimized Sr2CoH6Au structure (GGA-PBE, Alexandria via LeMat-Bulk).

Values from the calculation:
V = 229 Å³/cell
M_tot = 0.0 μB/f.u.
Uncorrected energy = -76.22 eV/cell

Cell: 7.6770 7.7185 5.4357 Å, 90.00 134.78 90.00°
Last column: nearest neighbours and their distance in Å.
Space group C2/m (No. 12)
One atom of each set of equivalent atoms:
Sr 0.0000 0.2503 0.0000 (multiplicity 4)  12 H 2.74-2.75
Co 0.0000 0.0000 0.5000 (multiplicity 2)  6 H 1.59
H 0.0000 0.2064 0.5000 (multiplicity 4)  1 Co 1.59
H 0.2058 0.0000 0.9124 (multiplicity 4)  1 Co 1.59
H 0.2070 0.0000 0.4989 (multiplicity 4)  1 Co 1.59
Au 0.0000 0.5000 0.5000 (multiplicity 2)  6 H 2.24-2.27

=====

# AcTmGePd

A geometry-optimized AcTmGePd structure (GGA-PBE, Alexandria via LeMat-Bulk).

Values from the calculation:
ΔH_f (0 K) = -669 meV per atom
V = 404 Å³/cell
M_tot = 0.0 μB/f.u.

Cell: 7.3920 7.3920 7.3920 Å, 90.00 90.00 90.00°
Last column: nearest neighbours and their distance in Å.
Space group F-43m (No. 216)
One atom of each set of equivalent atoms:
Ac 0.0000 0.0000 0.0000 (multiplicity 4)  4 Ge 3.20, 4 Pd 3.20
Tm 0.0000 0.0000 0.5000 (multiplicity 4)  4 Ge 3.20, 4 Pd 3.20
Ge 0.2500 0.2500 0.2500 (multiplicity 4)  4 Ac 3.20, 4 Tm 3.20
Pd 0.2500 0.2500 0.7500 (multiplicity 4)  4 Ac 3.20, 4 Tm 3.20

=====

> Which value of V does entry 1 give?

229 Å³/cell